1.
Density functional theory data (meta-GGA SCAN) for a PBEsol-optimized structure of Pm2CdGe.

Properties
The calculation puts the magnetic moment at 0.02 μB per cell. The formation energy from the elements comes out at -571 meV per atom. The volume comes out at 24.514 Å³ per atom. The value obtained for the total DFT energy (no corrections) is -139.76 eV/cell.

Geometry as POSCAR:
```
Pm2CdGe
1.0
0.000 3.660 3.660
3.660 0.000 3.660
3.660 3.660 0.000
Pm Cd Ge
2 1 1
direct
0.250 0.250 0.250
0.750 0.750 0.750
0.000 0.000 0.000
0.500 0.500 0.500
```

***

2.
Density functional theory data (meta-GGA SCAN) for a PBEsol-optimized structure of HfAg3Sn.

Properties
The calculation puts the magnetic moment at 0.00 μB per cell. The formation energy from the elements comes out at 1196 meV per atom. The volume comes out at 26.694 Å³ per atom. The value obtained for the total DFT energy (no corrections) is -186.71 eV/cell.

Geometry as POSCAR:
```
HfAg3Sn
1.0
5.111 0.000 0.000
0.000 5.111 0.000
0.000 0.000 5.111
Hf Ag Sn
1 3 1
direct
0.000 0.000 0.000
0.000 0.000 0.500
0.000 0.500 0.000
0.500 0.000 0.000
0.500 0.500 0.500
```

***

3.
Density functional theory data (meta-GGA SCAN) for a PBEsol-optimized structure of RbMnS2.

Properties
The calculation puts the magnetic moment at 8.00 μB per cell. Its uncorrected formation energy is -1.0019 eV/atom. The volume comes out at 24.198 Å³ per atom. The value obtained for the total DFT energy (no corrections) is -124.52 eV/cell.

Geometry as POSCAR:
```
RbMnS2
1.0
-3.419 3.419 4.140
3.419 -3.419 4.140
3.419 3.419 -4.140
Rb Mn S
2 2 4
direct
0.000 0.000 0.000
0.750 0.250 0.500
0.250 0.750 0.500
0.500 0.500 0.000
0.266 0.125 0.641
0.375 0.734 0.859
0.484 0.625 0.359
0.875 0.516 0.141
```

***

4.
Density functional theory data (meta-GGA SCAN) for a PBEsol-optimized structure of RbHfAsSe2.

Properties
The calculation puts the magnetic moment at 0.21 μB per cell. Its uncorrected formation energy is 1.5616 eV/atom. The volume comes out at 29.269 Å³ per atom. The value obtained for the total DFT energy (no corrections) is -135.95 eV/cell.

Geometry as POSCAR:
```
RbHfAsSe2
1.0
5.306 0.000 0.000
0.000 5.306 0.000
0.000 0.000 5.198
Rb Hf As Se
1 1 1 2
direct
0.000 0.000 0.000
0.500 0.500 0.500
0.000 0.000 0.500
0.000 0.500 0.000
0.500 0.000 0.000
```

***

5.
Density functional theory data (meta-GGA SCAN) for a PBEsol-optimized structure of KInPb.

Properties
The calculation puts the magnetic moment at 0.00 μB per cell. The formation energy from the elements comes out at -329 meV per atom. The volume comes out at 33.446 Å³ per atom. The value obtained for the total DFT energy (no corrections) is -236.96 eV/cell.

Geometry as POSCAR:
```
KInPb
1.0
4.860 0.000 0.000
0.000 4.860 0.000
0.000 0.000 8.497
K In Pb
2 2 2
direct
0.250 0.250 0.163
0.750 0.750 0.837
0.250 0.750 0.500
0.750 0.250 0.500
0.250 0.250 0.723
0.750 0.750 0.277
```

***

6.
Density functional theory data (meta-GGA SCAN) for a PBEsol-optimized structure of CuNi2Rh.

Properties
The calculation puts the magnetic moment at 2.32 μB per cell. The formation energy from the elements comes out at 42 meV per atom. The volume comes out at 11.485 Å³ per atom. The value obtained for the total DFT energy (no corrections) is -81.15 eV/cell.

Geometry as POSCAR:
```
CuNi2Rh
1.0
-1.789 1.789 3.590
1.789 -1.789 3.590
1.789 1.789 -3.590
Cu Ni Rh
1 2 1
direct
0.000 0.000 0.000
0.250 0.750 0.500
0.750 0.250 0.500
0.500 0.500 0.000
```

***

7.
Density functional theory data (meta-GGA SCAN) for a PBEsol-optimized structure of Zr2ScAl.

Properties
The calculation puts the magnetic moment at 0.53 μB per cell. The formation energy from the elements comes out at -193 meV per atom. The volume comes out at 20.490 Å³ per atom. The value obtained for the total DFT energy (no corrections) is -84.16 eV/cell.

Geometry as POSCAR:
```
Zr2ScAl
1.0
3.122 0.000 0.000
0.000 4.064 0.000
0.000 0.000 6.461
Zr Sc Al
2 1 1
direct
0.000 0.000 0.000
0.500 0.500 0.256
0.500 0.500 0.731
0.000 0.000 0.493
```

***

8.
Density functional theory data (meta-GGA SCAN) for a PBEsol-optimized structure of ZrTl2P.

Properties
The calculation puts the magnetic moment at 0.00 μB per cell. The formation energy from the elements comes out at -134 meV per atom. The volume comes out at 22.565 Å³ per atom. The value obtained for the total DFT energy (no corrections) is -186.35 eV/cell.

Geometry as POSCAR:
```
ZrTl2P
1.0
-1.764 2.464 5.192
1.764 -2.464 5.192
1.764 2.464 -5.192
Zr Tl P
1 2 1
direct
0.000 0.000 0.000
0.441 0.441 0.000
0.725 0.225 0.500
0.171 0.671 0.500
```

***

9.
Density functional theory data (meta-GGA SCAN) for a PBEsol-optimized structure of TiIn2Rh.

Properties
The calculation puts the magnetic moment at 1.50 μB per cell. The formation energy from the elements comes out at -281 meV per atom. The volume comes out at 17.227 Å³ per atom. The value obtained for the total DFT energy (no corrections) is -117.70 eV/cell.

Geometry as POSCAR:
```
TiIn2Rh
1.0
0.000 3.254 3.254
3.254 0.000 3.254
3.254 3.254 0.000
Ti In Rh
1 2 1
direct
0.000 0.000 0.000
0.250 0.250 0.250
0.750 0.750 0.750
0.500 0.500 0.500
```

***

10.
Density functional theory data (meta-GGA SCAN) for a PBEsol-optimized structure of CrRuAu2.

Properties
The calculation puts the magnetic moment at 1.93 μB per cell. The formation energy from the elements comes out at 191 meV per atom. The volume comes out at 15.298 Å³ per atom. For the polymorph energy (0 for the lowest one), the calculation gives 0.111 eV per atom. The value obtained for the total DFT energy (no corrections) is -190.76 eV/cell.

Geometry as POSCAR:
```
CrRuAu2
1.0
2.857 0.000 0.000
0.000 2.857 0.000
0.000 0.000 7.499
Cr Ru Au
1 1 2
direct
0.000 0.000 0.000
0.000 0.000 0.500
0.500 0.500 0.244
0.500 0.500 0.756
```

***

11.
Density functional theory data (meta-GGA SCAN) for a PBEsol-optimized structure of MgCuTc2.

Properties
The calculation puts the magnetic moment at 0.00 μB per cell. The formation energy from the elements comes out at 383 meV per atom. The volume comes out at 14.909 Å³ per atom. The value obtained for the total DFT energy (no corrections) is -88.76 eV/cell.

Geometry as POSCAR:
```
MgCuTc2
1.0
3.159 0.000 0.000
0.000 3.159 0.000
0.000 0.000 5.978
Mg Cu Tc
1 1 2
direct
0.000 0.000 0.000
0.000 0.000 0.500
0.500 0.500 0.308
0.500 0.500 0.692
```

***

12.
Density functional theory data (meta-GGA SCAN) for a PBEsol-optimized structure of MgZrCdAu2.

Properties
The calculation puts the magnetic moment at 0.00 μB per cell. The formation energy from the elements comes out at 541 meV per atom. The volume comes out at 28.578 Å³ per atom. The value obtained for the total DFT energy (no corrections) is -201.70 eV/cell.

Geometry as POSCAR:
```
MgZrCdAu2
1.0
5.122 0.000 0.000
0.000 5.122 0.000
0.000 0.000 5.446
Mg Zr Cd Au
1 1 1 2
direct
0.000 0.000 0.000
0.500 0.500 0.500
0.500 0.500 0.000
0.000 0.500 0.500
0.500 0.000 0.500
```

***

In the order shown, the computed N(E_F) values come out to 2.1, 5.1, 1.0, 4.0, 0.7, 3.4, 3.7, 2.5, 4.4, 2.6, 2.8, 3.9 states/eV/f.u..